This record from Alexandria describes a geometry-optimized LiMnSiO4 structure. The functional is PBE+U.

As for the energy relative to the lowest polymorph listed for this composition: 60 meV/atom.

It has space group Pna2_1 (No. 33), with a = 9.709 Å, b = 6.966 Å, c = 5.095 Å, α = 90.00°, β = 90.00° and γ = 90.00°. The asymmetric unit holds Li at (0.182, 0.031, 0.000), Mn at (0.114, 0.529, 0.935), Si at (0.094, 0.238, 0.511), O at (0.072, 0.801, 0.967), O at (0.096, 0.462, 0.381), O at (0.133, 0.266, 0.822) and O at (0.194, 0.081, 0.374).